Density functional theory data (PBE) for a geometry-optimized PmNdRu structure.

Its polymorph energy (0 for the lowest one) is 1.8 kJ/mol of formula units. The energy of formation comes out at -0.16 eV/atom. The calculation puts the density of states at the Fermi level at 13.2 states/eV/cell.

It has space group C2/m (No. 12), with a = 11.865 Å, b = 4.161 Å, c = 8.438 Å, α = 90.00°, β = 127.77° and γ = 90.00°. The inequivalent atoms are Pm at (0.086, 0.000, 0.370), Nd at (0.187, 0.500, 0.093) and Ru at (0.140, 0.500, 0.643).